Compound: Ba2H2I
Source: Alexandria
Functional: GGA-PBE
Structure: relaxed

The density of states at the Fermi level is 1.91 states/eV/cell. As for the symmetry: P-3m1. The calculated total energy comes out at -33.18 eV/cell. As for the volume: 29.9 Å³/atom. The value obtained for the energy above the lowest structure with this stoichiometry is 0.00 eV/f.u.

a = 4.5687 Å, b = 7.9185 Å, c = 9.4445 Å
α = 114.81°, β = 103.99°, γ = 90.00°
Positions (direct):
H: 0.5634 0.8967 0.6266
Ba: 0.0974 0.7640 0.6946
H: 0.0632 0.3967 0.6266
Ba: 0.4028 0.7360 0.3054
H: 0.9368 0.6033 0.3734
I: 0.2499 0.2500 0.0000
Ba: 0.9026 0.2360 0.3054
I: 0.7501 0.7500 0.0000
H: 0.4366 0.1033 0.3734
Ba: 0.5972 0.2640 0.6946